(1)
DFT (meta-GGA SCAN) results for a PBEsol-optimized structure of Nd12InPt7.

Its magnetic moment is 0.0 μB per cell. The total energy comes out at -53.487 eV per atom.

The structure belongs to space group I4/mcm (No. 140); the cell edges are 11.8913, 11.8913 and 14.3971 Å and the angles 90.00°, 90.00° and 90.00°. The distinct sites, in fractional coordinates, are Nd at (0.0000, 0.5000, 0.1367), Nd at (0.0712, 0.2082, 0.1427), Nd at (0.1764, 0.3236, 0.5000), In at (0.0000, 0.0000, 0.0000), Pt at (0.0000, 0.0000, 0.2500), Pt at (0.1255, 0.3745, 0.0000) and Pt at (0.1752, 0.3248, 0.3043).


(2)
DFT (meta-GGA SCAN) results for a PBEsol-optimized structure of NdInPt4.

Its magnetic moment is 0.0 μB per cell. The total energy comes out at -60.532 eV per atom.

The structure belongs to space group F-43m (No. 216); the cell edges are 7.5913, 7.5913 and 7.5913 Å and the angles 90.00°, 90.00° and 90.00°. The distinct sites, in fractional coordinates, are Nd at (0.0000, 0.0000, 0.0000), In at (0.2500, 0.2500, 0.7500) and Pt at (0.1244, 0.1244, 0.3756).


(3)
DFT (meta-GGA SCAN) results for a PBEsol-optimized structure of Nd2InRh2.

Its magnetic moment is 0.0 μB per cell. The total energy comes out at -38.388 eV per atom.

The structure belongs to space group P4/mbm (No. 127); the cell edges are 7.4485, 7.4485 and 3.9251 Å and the angles 90.00°, 90.00° and 90.00°. The distinct sites, in fractional coordinates, are Nd at (0.1718, 0.3282, 0.0000), In at (0.0000, 0.0000, 0.5000) and Rh at (0.1309, 0.6309, 0.5000).


(4)
DFT (meta-GGA SCAN) results for a PBEsol-optimized structure of NdInRh2.

Its magnetic moment is 0.0 μB per cell. The total energy comes out at -36.789 eV per atom.

The structure belongs to space group Fm-3m (No. 225); the cell edges are 6.6589, 6.6589 and 6.6589 Å and the angles 90.00°, 90.00° and 90.00°. The distinct sites, in fractional coordinates, are Nd at (0.0000, 0.0000, 0.0000), In at (0.0000, 0.0000, 0.5000) and Rh at (0.2500, 0.2500, 0.2500).


Listing formation enthalpy at 0 K for the structures above in their given order: -1101, -908, -769, -661 meV/atom.